# 1
Here is RbCeSb2 after structural relaxation from Alexandria. Energies are from PBE.

The structure in extended XYZ format:
```
4
Lattice="4.7654 0.0000 0.0000 2.3827 4.1270 0.0000 2.3827 1.3757 8.1979" Properties=species:S:1:pos:R:3 pbc="T T T"
Sb 2.3827 1.3757 1.4774
Sb 7.1481 4.1270 6.7205
Rb 4.7654 2.7513 4.0990
Ce 0.0000 0.0000 0.0000
```

- ΔE_f (raw): -206 kJ/mol of formula units
- Space-group type: R-3m, No. 166
- Energy above the most stable polymorph in this dataset: 120 meV per atom
- Mass density: 4.8 Mg/m³
- D(E_F): 1.61 states/eV/atom

---

# 2
Here is RbCeSb2 after structural relaxation from Alexandria. Energies are from PBE.

The structure in extended XYZ format:
```
4
Lattice="-3.9339 -1.3242 2.2328 -0.0589 -3.9938 2.5023 1.1260 2.4855 8.4325" Properties=species:S:1:pos:R:3 pbc="T T T"
Ce -1.5444 -1.0744 11.5657
Sb -0.8891 -1.0068 2.8111
Sb 0.6742 1.7026 7.1723
Rb -1.4151 -1.3845 6.6349
```

- ΔE_f (raw): -199 kJ/mol of formula units
- Space-group type: R3m, No. 160
- Energy above the most stable polymorph in this dataset: 139 meV per atom
- Mass density: 4.8 Mg/m³
- D(E_F): 1.86 states/eV/atom

---

# 3
Here is RbCeSb2 after structural relaxation from Alexandria. Energies are from PBE.

The structure in extended XYZ format:
```
4
Lattice="4.2312 0.0000 0.0000 0.0000 4.2312 0.0000 0.0000 0.0000 7.9227" Properties=species:S:1:pos:R:3 pbc="T T T"
Rb 2.1156 2.1156 3.9614
Sb 0.0000 0.0000 1.4537
Sb 0.0000 0.0000 6.4690
Ce 2.1156 2.1156 0.0000
```

- ΔE_f (raw): -252 kJ/mol of formula units
- Space-group type: P4/mmm, No. 123
- Energy above the most stable polymorph in this dataset: 0 meV per atom
- Mass density: 5.5 Mg/m³
- D(E_F): 1.42 states/eV/atom

---

# 4
Here is Rb2CeSb2Se6 after structural relaxation from Alexandria. Energies are from PBE.

The structure in extended XYZ format:
```
11
Lattice="-0.2114 -6.6156 -3.1417 0.8920 0.6072 7.2469 -8.3531 1.8585 -0.4049" Properties=species:S:1:pos:R:3 pbc="T T T"
Rb 0.7070 -0.6036 5.5053
Rb -0.0264 -5.4048 -1.4002
Ce -4.1765 0.9292 -0.2025
Sb -3.6498 -0.8546 3.6053
Sb -4.0227 -3.2953 0.0949
Se -5.2650 -3.1412 2.7432
Se -1.8725 -2.8404 4.7638
Se -5.4319 1.1001 2.4021
Se -2.4075 -1.0088 0.9571
Se -2.2406 -5.2500 1.2981
Se -5.8000 -1.3095 -1.0635
```

- ΔE_f (raw): -1027 kJ/mol of formula units
- Space-group type: C2/m, No. 12
- Mass density: 4.5 Mg/m³

---

# 5
Here is Rb3Ce3SbSe8 after structural relaxation from Alexandria. Energies are from PBE.

The structure in extended XYZ format:
```
15
Lattice="8.6495 0.0000 0.0000 -4.3248 7.4901 -0.0299 0.0000 -4.9654 8.0830" Properties=species:S:1:pos:R:3 pbc="T T T"
Ce 2.1624 1.2624 4.0265
Ce 4.3248 -2.4827 4.0415
Ce -2.1624 1.2624 4.0265
Se -2.1805 3.7759 5.5607
Se 0.0000 2.5048 2.4220
Se 4.3248 0.0199 5.6310
Se 6.5053 -1.2512 2.4924
Se 2.1442 -1.2512 2.4924
Se 4.3248 2.5255 2.4767
Se 2.1805 3.7759 5.5607
Se 0.0000 -0.0008 5.5764
Sb 0.0000 -2.4827 4.0415
Rb -2.1624 3.7450 -0.0150
Rb 0.0000 0.0000 0.0000
Rb 2.1624 3.7450 -0.0150
```

- ΔE_f (raw): -2077 kJ/mol of formula units
- Space-group type: R-3m, No. 166
- Mass density: 4.5 Mg/m³
- D(E_F): 0.87 states/eV/atom

---

# 6
Here is Rb2CeSbSe5 after structural relaxation from Alexandria. Energies are from PBE.

The structure in extended XYZ format:
```
18
Lattice="4.5907 0.0000 0.0000 -2.2954 9.9453 0.0000 0.0000 0.0000 14.4297" Properties=species:S:1:pos:R:3 pbc="T T T"
Se 2.2954 3.8600 2.1871
Se 2.2954 3.6789 12.8988
Se 2.2954 3.2592 7.2977
Se 0.0000 6.6861 0.0829
Se 2.2954 9.0212 7.5586
Se 0.0000 9.9191 3.9844
Se 2.2954 0.0262 11.1992
Se 0.0000 6.0853 9.4019
Se 0.0000 6.2664 5.6840
Se 0.0000 0.9241 0.3438
Rb 0.0000 2.5750 4.7586
Rb 2.2954 7.4941 2.5842
Rb 0.0000 2.4513 9.7990
Rb 2.2954 7.3703 11.9735
Ce 2.2954 5.8751 7.7104
Ce 0.0000 4.0703 0.4955
Sb 2.2954 1.1290 13.4136
Sb 0.0000 8.8163 6.1988
```

- ΔE_f (raw): -880 kJ/mol of formula units
- Space-group type: Cmc2_1, No. 36
- Mass density: 4.2 Mg/m³
- D(E_F): 0.28 states/eV/atom

---

# 7
Here is Rb3CeSb2Se6 after structural relaxation from Alexandria. Energies are from PBE.

The structure in extended XYZ format:
```
12
Lattice="7.5138 -0.0008 0.0006 -3.7558 6.5078 0.0006 -1.2529 -2.1694 7.9754" Properties=species:S:1:pos:R:3 pbc="T T T"
Sb 3.7562 2.1694 0.0006
Sb 0.0019 4.3377 0.0006
Se 0.0209 0.0362 6.4017
Se -0.0411 4.3381 6.4042
Se 3.7781 2.1324 6.4042
Se -1.2729 2.2053 1.5724
Se 2.4843 4.3015 1.5748
Se 2.5463 -0.0004 1.5724
Ce 0.0000 0.0000 0.0000
Rb -2.4970 4.3344 3.9883
Rb 5.0022 0.0033 3.9883
Rb 1.2526 2.1688 3.9883
```

- ΔE_f (raw): -1163 kJ/mol of formula units
- Space-group type: C2/m, No. 12
- Mass density: 4.7 Mg/m³
- D(E_F): 0.68 states/eV/atom

---

# 8
Here is Rb4Ce3SbSe8 after structural relaxation from Alexandria. Energies are from PBE.

The structure in extended XYZ format:
```
16
Lattice="8.7815 0.0000 0.0000 0.0000 9.4324 0.4481 -4.3907 -4.3855 6.2133" Properties=species:S:1:pos:R:3 pbc="T T T"
Se 0.0000 4.5616 3.1721
Se -2.2264 2.3366 6.3248
Se 4.3907 0.4853 3.4893
Se 6.6171 2.7102 0.3367
Se 4.3907 4.5564 3.2145
Se 0.0000 0.4905 3.4470
Se 2.1644 2.7102 0.3367
Se 2.2264 2.3366 6.3248
Rb -2.1954 -2.1928 3.1067
Rb 2.1954 -2.1928 3.1067
Rb 0.0000 0.0000 0.0000
Rb 4.3907 0.0000 0.0000
Sb 0.0000 4.7162 0.2241
Ce 4.3907 4.7162 0.2241
Ce -2.1954 2.5234 3.3307
Ce 2.1954 2.5234 3.3307
```

- ΔE_f (raw): -2190 kJ/mol of formula units
- Space-group type: R-3m, No. 166
- Mass density: 4.7 Mg/m³
- D(E_F): 1.16 states/eV/atom

---

Question: Look up the ΔE_f (raw) of the eighth one.
Answer: -2190 kJ/mol of formula units

---

Question: Which of these has the highest mass density?
Answer: number 3

---

Copy entry 1 word for word.
Here is RbCeSb2 after structural relaxation from Alexandria. Energies are from PBE.

The structure in extended XYZ format:
```
4
Lattice="4.7654 0.0000 0.0000 2.3827 4.1270 0.0000 2.3827 1.3757 8.1979" Properties=species:S:1:pos:R:3 pbc="T T T"
Sb 2.3827 1.3757 1.4774
Sb 7.1481 4.1270 6.7205
Rb 4.7654 2.7513 4.0990
Ce 0.0000 0.0000 0.0000
```

- ΔE_f (raw): -206 kJ/mol of formula units
- Space-group type: R-3m, No. 166
- Energy above the most stable polymorph in this dataset: 120 meV per atom
- Mass density: 4.8 Mg/m³
- D(E_F): 1.61 states/eV/atom